# PmNd3Cd

A relaxed structure of PmNd3Cd (PBE, Alexandria).

a b c (Å): 3.7911 6.8777 13.0568
angles (deg): 87.43 90.00 74.00
Fractional positions:
Cd 0.4432 0.1137 0.3721
Pm 0.7739 0.4522 0.2500
Nd 0.9592 0.0815 0.8101
Nd 0.8542 0.2916 0.5535
Nd 0.3660 0.2680 0.0277
Pm 0.2261 0.5478 0.7500
Nd 0.6340 0.7320 0.9723
Nd 0.1458 0.7084 0.4465
Nd 0.0408 0.9185 0.1899
Cd 0.5568 0.8863 0.6279

Calculated values
Magnetic moment in μB per cell: 0.0
Energy in eV per atom: -4.102
Calculated volume in Å³/atom: 32.69
Energy of formation from the pure elements in kcal/mol of atoms: -2.50
Energy above the most stable polymorph in this dataset in eV/f.u.: 0.000
Space group: C2/m, No. 12

# SrRe2Ni

A relaxed structure of SrRe2Ni (PBE, Alexandria).

a b c (Å): 6.0241 6.0241 6.0241
angles (deg): 153.65 134.55 53.30
Fractional positions:
Sr 0.7500 0.2500 0.5000
Re 0.0365 0.0365 0.0000
Ni 0.2500 0.7500 0.5000
Re 0.4635 0.4635 0.0000

Calculated values
Magnetic moment in μB per cell: 0.0
Energy in eV per atom: -7.533
Calculated volume in Å³/atom: 17.20
Energy of formation from the pure elements in kcal/mol of atoms: 12.83
Energy above the most stable polymorph in this dataset in eV/f.u.: 0.619
Space group: Immm, No. 71